Entry 1:
The following is a DFT calculation (PBE) of LuSc2Sb after structural relaxation.

Density of states at the Fermi level (states/eV per cell): 17.4
Energy relative to the elements, uncorrected (meV per atom): 43.4

POSCAR file:
```
LuSc2Sb
1.0
3.3413 0.0000 0.0000
-1.6707 2.8937 0.0000
0.0000 0.0000 33.0612
Lu Sc Sb
3 6 3
Cartesian
0.0000 0.0000 0.0000
0.0000 1.9291 22.0408
1.6707 0.9646 11.0204
0.0000 0.0000 3.1583
0.0000 0.0000 29.9030
0.0000 1.9291 18.8826
0.0000 1.9291 25.1991
1.6707 0.9646 7.8621
1.6707 0.9646 14.1787
0.0000 0.0000 16.5306
0.0000 1.9291 5.5102
1.6707 0.9646 27.5510
```

=====

Entry 2:
The following is a DFT calculation (PBE) of LuScSb after structural relaxation.

Density of states at the Fermi level (states/eV per cell): 3.7
Energy relative to the elements, uncorrected (meV per atom): -574.4

POSCAR file:
```
LuScSb
1.0
3.8268 0.0000 0.0000
0.0000 3.8268 0.0000
0.0000 0.0000 10.1316
Lu Sc Sb
2 2 2
Cartesian
0.0000 0.0000 0.0000
1.9134 1.9134 5.0658
0.0000 0.0000 6.9394
1.9134 1.9134 1.8737
0.0000 0.0000 3.3491
1.9134 1.9134 8.4149
```

=====

Entry 3:
The following is a DFT calculation (PBE) of LuSc2Sb after structural relaxation.

Density of states at the Fermi level (states/eV per cell): 4.8
Energy relative to the elements, uncorrected (meV per atom): -442.5

POSCAR file:
```
LuSc2Sb
1.0
4.5649 0.0000 0.0000
0.0000 4.5649 0.0000
0.0000 0.0000 4.5770
Lu Sc Sb
1 2 1
Cartesian
0.0000 0.0000 0.0000
0.0000 2.2825 2.2885
2.2825 0.0000 2.2885
2.2825 2.2825 0.0000
```